## PaAsIr (PBE)

Data for a relaxed PaAsIr crystal.

Cell lengths 6.837, 6.837, 5.728 Å; angles 90.00, 90.00, 144.71 degrees
Fractional positions:
Pa (0.197, 0.803, 0.750)
Pa (0.803, 0.197, 0.250)
As (0.000, 0.000, 0.000)
As (0.000, 0.000, 0.500)
Ir (0.169, 0.831, 0.250)
Ir (0.831, 0.169, 0.750)

Properties
Energy of formation = -0.383 eV per atom
DOS at the Fermi energy = 0.45 states/eV/atom
Space group = Cmcm (63)
Size of the total moment = 0.00 μB per atom